Entry 1:
A plane-wave DFT calculation with PBE was carried out for Tm3CdPb after structural relaxation.

## Properties
Total DFT energy (no corrections)   -37.8 eV for the cell shown
Calculated volume   146.67 Å³/f.u.
D(E_F)   8.27 states/eV/cell

Lattice parameters (Å, degrees): 4.7165 6.7165 9.2601 90.00 90.00 90.00
Last column: nearest neighbours and their distance in Å.
Positions (direct):
Tm1 0.7500 0.7500 0.0781  4 Pb 3.06-3.40, 1 Cd 3.15
Tm2 0.2500 0.2500 0.9219  4 Pb 3.06-3.40, 1 Cd 3.15
Tm3 0.7500 0.9961 0.7034  3 Cd 3.12, 2 Pb 3.26, 2 Tm 3.31-3.41
Tm4 0.7500 0.5039 0.7034  3 Cd 3.12, 2 Pb 3.26, 2 Tm 3.31-3.41
Tm5 0.2500 0.0039 0.2966  3 Cd 3.12, 2 Pb 3.26, 2 Tm 3.31-3.41
Tm6 0.2500 0.4961 0.2966  3 Cd 3.12, 2 Pb 3.26, 2 Tm 3.31-3.41
Cd1 0.7500 0.7500 0.4181  7 Tm 3.12-3.15
Cd2 0.2500 0.2500 0.5819  7 Tm 3.12-3.15
Pb1 0.7500 0.2500 0.1323  8 Tm 3.06-3.40
Pb2 0.2500 0.7500 0.8677  8 Tm 3.06-3.40

Entry 2:
A plane-wave DFT calculation with PBE was carried out for SrLiTc2 after structural relaxation.

## Properties
Calculated volume   84.54 Å³/f.u.
Energy above the lowest structure with this stoichiometry   9.7 kJ per mole of atoms
D(E_F)   3.42 states/eV/cell

Lattice parameters (Å, degrees): 4.4018 4.4018 6.4535 82.04 82.04 43.13
Last column: nearest neighbours and their distance in Å.
Positions (direct):
Li1 0.4801 0.4801 0.5792  5 Tc 2.69-2.70
Sr1 0.2518 0.2518 0.2396  5 Tc 3.08-3.38, 3 Li 3.09-3.30, 2 Sr 3.24
Tc1 0.0239 0.0239 0.8996  3 Tc 2.46-2.52, 2 Li 2.69
Tc2 0.7442 0.7442 0.7815  3 Tc 2.46-2.52, 3 Li 2.69-2.70

Entry 3:
A plane-wave DFT calculation with PBE was carried out for La3YP4 after structural relaxation.

## Properties
Total DFT energy (no corrections)   -55.5 eV for the cell shown
Calculated volume   211.50 Å³/f.u.
D(E_F)   0.68 states/eV/cell

Lattice parameters (Å, degrees): 4.2163 7.2931 7.2931 109.43 90.00 90.00
Last column: nearest neighbours and their distance in Å.
Positions (direct):
La1 0.0000 0.0000 0.5000  6 P 2.98
La2 0.5000 0.5000 0.5000  6 P 3.03
La3 0.0000 0.5000 0.0000  6 P 2.98
Y1 0.5000 0.0000 0.0000  6 P 2.92-2.93
P1 0.0000 0.2416 0.2416  2 Y 2.93, 4 La 2.98-3.03
P2 0.5000 0.7546 0.2454  1 Y 2.92, 5 La 2.98-3.03
P3 0.0000 0.7584 0.7584  2 Y 2.93, 4 La 2.98-3.03
P4 0.5000 0.2454 0.7546  1 Y 2.92, 5 La 2.98-3.03

Entry 4:
A plane-wave DFT calculation with PBE was carried out for AgTeN2 after structural relaxation.

## Properties
Formation energy (no corrections)   0.119 eV per atom
Calculated volume   130.02 Å³/f.u.
D(E_F)   2.41 states/eV/cell

Lattice parameters (Å, degrees): 3.2306 4.9236 9.0321 74.57 79.04 70.90
Last column: nearest neighbours and their distance in Å.
Positions (direct):
Ag1 0.6180 0.1340 0.2476  3 Te 2.71-2.80
Te1 0.3764 0.7264 0.1441  3 Ag 2.71-2.80
N1 0.9123 0.2070 0.6329  1 N 1.11
N2 0.7923 0.3586 0.7141  1 N 1.11

Entry 5:
A plane-wave DFT calculation with PBE was carried out for PaBeRe after structural relaxation.

## Properties
Calculated volume   52.60 Å³/f.u.
Energy above the lowest structure with this stoichiometry   13.5 kJ per mole of atoms
D(E_F)   1.36 states/eV/cell

Lattice parameters (Å, degrees): 3.7220 4.0395 4.0395 120.00 90.00 90.00
Last column: nearest neighbours and their distance in Å.
Positions (direct):
Re1 0.1665 0.3333 0.6667  3 Be 2.33
Pa1 0.6665 0.6667 0.3333  6 Be 2.98, 6 Re 2.98
Be1 0.1670 0.0000 0.0000  3 Re 2.33

Entry 6:
A plane-wave DFT calculation with PBE was carried out for BaAcHgAu after structural relaxation.

## Properties
Calculated volume   137.07 Å³/f.u.
Energy above the lowest structure with this stoichiometry   0.0 kJ per mole of atoms
D(E_F)   3.48 states/eV/cell

Lattice parameters (Å, degrees): 4.2803 5.1148 6.6167 90.00 108.87 90.00
Last column: nearest neighbours and their distance in Å.
Positions (direct):
Ba1 0.8599 0.5000 0.7198  3 Au 3.39-3.58, 4 Hg 3.41
Ac1 0.1323 0.0000 0.2646  4 Au 3.38, 3 Hg 3.43-3.59
Hg1 0.4186 0.0000 0.8372  2 Au 3.33, 4 Ba 3.41, 3 Ac 3.43-3.59
Au1 0.5892 0.5000 0.1783  2 Hg 3.33, 4 Ac 3.38, 3 Ba 3.39-3.58

Entry 7:
A plane-wave DFT calculation with PBE was carried out for Cs2BaSb2O7 after structural relaxation.

## Properties
Formation energy (no corrections)   -1.718 eV per atom
Calculated volume   208.51 Å³/f.u.
D(E_F)   2.27 states/eV/cell

Lattice parameters (Å, degrees): 4.1411 4.1411 12.5070 80.47 80.47 90.00
Last column: nearest neighbours and their distance in Å.
Positions (direct):
Cs1 0.8106 0.8106 0.3789  4 O 2.98-2.99
Cs2 0.1894 0.1894 0.6211  4 O 2.98-2.99
Ba1 0.0000 0.0000 0.0000  12 O 2.82-2.93
Sb1 0.5869 0.5869 0.8261  6 O 1.91-2.11
Sb2 0.4131 0.4131 0.1739  6 O 1.91-2.11
O1 0.5000 0.5000 0.0000  2 Sb 2.11
O2 0.3344 0.3344 0.3311  1 Sb 1.91
O3 0.6656 0.6656 0.6689  1 Sb 1.91
O4 0.9211 0.4211 0.1578  2 Sb 2.08
O5 0.4211 0.9211 0.1578  2 Sb 2.08
O6 0.5789 0.0789 0.8422  2 Sb 2.08
O7 0.0789 0.5789 0.8422  2 Sb 2.08

Entry 8:
A plane-wave DFT calculation with PBE was carried out for NaTi2AsBr after structural relaxation.

## Properties
Formation energy (no corrections)   0.167 eV per atom
Calculated volume   171.30 Å³/f.u.
D(E_F)   7.36 states/eV/cell

Lattice parameters (Å, degrees): 4.7689 7.5320 4.7689 90.00 90.00 90.00
Last column: nearest neighbours and their distance in Å.
Positions (direct):
Na1 0.5000 0.5000 0.5000  4 Br 3.37
As1 0.0000 0.0000 0.0000  4 Ti 2.38
Br1 0.0000 0.5000 0.0000  4 Na 3.37, 2 As 3.77
Ti1 0.0000 0.0000 0.5000  2 As 2.38
Ti2 0.5000 0.0000 0.0000  2 As 2.38

Entry 9:
A plane-wave DFT calculation with PBE was carried out for LaPr2Tm4 after structural relaxation.

## Properties
Calculated volume   239.38 Å³/f.u.
Energy above the lowest structure with this stoichiometry   7.1 kJ per mole of atoms
D(E_F)   13.10 states/eV/cell

Lattice parameters (Å, degrees): 6.8690 6.8690 6.8690 122.67 103.30 103.30
Last column: nearest neighbours and their distance in Å.
Positions (direct):
Pr1 0.5000 0.2500 0.7500  2 Pr 3.29, 8 Tm 3.50
Pr2 0.5000 0.7500 0.2500  2 Pr 3.29, 8 Tm 3.50
Tm1 0.0000 0.3043 0.6957  4 Tm 3.34-3.55, 4 Pr 3.50, 1 La 3.67
Tm2 0.0000 0.6957 0.3043  4 Tm 3.34-3.55, 4 Pr 3.50, 1 La 3.67
Tm3 0.6087 0.3043 0.3043  4 Tm 3.34-3.55, 4 Pr 3.50, 1 La 3.67
Tm4 0.3913 0.6957 0.6957  4 Tm 3.34-3.55, 4 Pr 3.50, 1 La 3.67
La1 0.0000 0.0000 0.0000  12 Tm 3.67-4.05

Entry 10:
A plane-wave DFT calculation with PBE was carried out for Ac2PaAs2O2 after structural relaxation.

## Properties
Formation energy (no corrections)   -2.342 eV per atom
Calculated volume   165.03 Å³/f.u.
D(E_F)   4.62 states/eV/cell

Lattice parameters (Å, degrees): 4.1617 6.5789 7.0999 65.67 72.96 71.56
Last column: nearest neighbours and their distance in Å.
Positions (direct):
Ac1 0.1840 0.3497 0.2823  3 O 2.57-2.64
Ac2 0.8160 0.6503 0.7177  3 O 2.57-2.64
Pa1 0.0000 0.0000 0.0000  2 O 2.15
As1 0.5583 0.2007 0.6826  2 Pa 2.94, 2 Ac 3.29
As2 0.4417 0.7993 0.3174  2 Pa 2.94, 2 Ac 3.29
O1 0.1916 0.6956 0.9212  1 Pa 2.15
O2 0.8084 0.3044 0.0788  1 Pa 2.15

Entry 11:
A plane-wave DFT calculation with PBE was carried out for Sc4AlZn2Ir after structural relaxation.

## Properties
Total DFT energy (no corrections)   -45.2 eV for the cell shown
Calculated volume   146.91 Å³/f.u.
D(E_F)   5.58 states/eV/cell

Lattice parameters (Å, degrees): 4.7038 4.7038 8.1334 73.19 73.19 60.00
Last column: nearest neighbours and their distance in Å.
Positions (direct):
Sc1 0.3806 0.3806 0.8583  1 Ir 2.75, 4 Zn 2.81-2.88, 3 Al 2.92
Sc2 0.8708 0.8708 0.3877  3 Ir 2.85, 4 Zn 2.90-2.96, 1 Al 2.97
Sc3 0.1292 0.1292 0.6123  3 Ir 2.85, 4 Zn 2.90-2.96, 1 Al 2.97
Sc4 0.6194 0.6194 0.1417  1 Ir 2.75, 4 Zn 2.81-2.88, 3 Al 2.92
Al1 0.0000 0.0000 0.0000  8 Sc 2.92-2.97, 6 Zn 3.26
Zn1 0.7447 0.7447 0.7658  8 Sc 2.81-2.96
Zn2 0.2553 0.2553 0.2342  8 Sc 2.81-2.96
Ir1 0.5000 0.5000 0.5000  8 Sc 2.75-2.85

Entry 12:
A plane-wave DFT calculation with PBE was carried out for SmCu6Rh2 after structural relaxation.

## Properties
Total DFT energy (no corrections)   -43.7 eV for the cell shown
Calculated volume   137.62 Å³/f.u.
D(E_F)   4.51 states/eV/cell

Lattice parameters (Å, degrees): 4.4104 6.8545 6.8545 45.11 71.23 71.23
Last column: nearest neighbours and their distance in Å.
Positions (direct):
Sm1 0.0000 0.0000 0.0000  4 Cu 2.68, 4 Rh 2.96
Cu1 0.7007 0.0579 0.5406  4 Cu 2.39-2.54, 1 Rh 2.59
Cu2 0.2993 0.9421 0.4594  4 Cu 2.39-2.54, 1 Rh 2.59
Cu3 0.2993 0.4594 0.9421  4 Cu 2.39-2.54, 1 Rh 2.59
Cu4 0.5000 0.7120 0.2880  3 Cu 2.23-2.39
Cu5 0.5000 0.2880 0.7120  3 Cu 2.23-2.39
Cu6 0.7007 0.5406 0.0579  4 Cu 2.39-2.54, 1 Rh 2.59
Rh1 0.8861 0.6139 0.6139  10 Cu 2.59-2.82, 1 Rh 2.70
Rh2 0.1139 0.3861 0.3861  10 Cu 2.59-2.82, 1 Rh 2.70

- Number 12 is which compound?
  SmCu6Rh2

- Look up the D(E_F) of the seventh one.
  2.27 states/eV/cell

- Among the records above, which one has the highest D(E_F)?
  LaPr2Tm4

- Which value of calculated volume does entry 10 give?
  165.03 Å³/f.u.